Entry from the Alexandria database: CaLaRhS after structural relaxation (PBE).

a b c (Å): 4.294 3.844 11.262
angles (deg): 90.00 90.00 90.00
Space group Amm2 (No. 38)
Symmetry-distinct sites (fractional):
Ca (0.000, 0.000, 0.000) [2 per cell]
La (0.500, 0.000, 0.732) [2 per cell]
Rh (0.000, 0.000, 0.267) [2 per cell]
S (0.500, 0.000, 0.463) [2 per cell]

**E_form (uncorrected)**: -1233 meV per atom

---

Entry from the Alexandria database: CaLaRhS after structural relaxation (PBE).

a b c (Å): 3.565 3.683 14.395
angles (deg): 90.00 90.00 90.00
Space group Amm2 (No. 38)
Symmetry-distinct sites (fractional):
Ca (0.000, 0.000, 0.000) [2 per cell]
La (0.000, 0.000, 0.753) [2 per cell]
Rh (0.500, 0.000, 0.359) [2 per cell]
S (0.500, 0.000, 0.586) [2 per cell]

**E_form (uncorrected)**: -1167 meV per atom

---

Entry from the Alexandria database: CaLaRhS after structural relaxation (PBE).

a b c (Å): 6.949 4.016 7.620
angles (deg): 90.00 107.62 90.00
Space group Cm (No. 8)
Symmetry-distinct sites (fractional):
Ca (0.000, 0.000, 0.000) [2 per cell]
La (0.329, 0.500, 0.485) [2 per cell]
Rh (0.423, 0.000, 0.271) [2 per cell]
S (0.088, 0.500, 0.764) [2 per cell]

**E_form (uncorrected)**: -1174 meV per atom

---

Entry from the Alexandria database: CaLaRhS after structural relaxation (PBE).

a b c (Å): 4.075 4.075 5.976
angles (deg): 90.00 90.00 90.00
Space group P4/mmm (No. 123)
Symmetry-distinct sites (fractional):
Ca (0.000, 0.000, 0.000) [1 per cell]
La (0.500, 0.500, 0.500) [1 per cell]
Rh (0.000, 0.000, 0.500) [1 per cell]
S (0.500, 0.500, 0.000) [1 per cell]

**E_form (uncorrected)**: -1277 meV per atom

---

Entry from the Alexandria database: CaLaRhS after structural relaxation (PBE).

a b c (Å): 3.511 3.511 7.247
angles (deg): 90.00 90.00 90.00
Space group P4mm (No. 99)
Symmetry-distinct sites (fractional):
Ca (0.000, 0.000, 0.000) [1 per cell]
La (0.000, 0.000, 0.502) [1 per cell]
Rh (0.500, 0.500, 0.268) [1 per cell]
S (0.500, 0.500, 0.776) [1 per cell]

**E_form (uncorrected)**: -1149 meV per atom

---

Entry from the Alexandria database: CaLa2SbRh after structural relaxation (PBE).

a b c (Å): 5.402 5.402 5.530
angles (deg): 90.00 90.00 90.00
Space group P4/mmm (No. 123)
Symmetry-distinct sites (fractional):
Ca (0.000, 0.000, 0.000) [1 per cell]
La (0.000, 0.500, 0.500) [2 per cell]
Sb (0.500, 0.500, 0.000) [1 per cell]
Rh (0.000, 0.000, 0.500) [1 per cell]

**E_form (uncorrected)**: -659 meV per atom

---

Entry from the Alexandria database: CaLa2ScRh after structural relaxation (PBE).

a b c (Å): 5.660 5.660 5.271
angles (deg): 90.00 90.00 90.00
Space group P4/mmm (No. 123)
Symmetry-distinct sites (fractional):
Ca (0.000, 0.000, 0.000) [1 per cell]
La (0.000, 0.500, 0.500) [2 per cell]
Sc (0.500, 0.500, 0.000) [1 per cell]
Rh (0.500, 0.500, 0.500) [1 per cell]

**Calculated formation energy**: -260 meV/atom

---

Entry from the Alexandria database: CaLaRh2Se after structural relaxation (PBE).

a b c (Å): 4.062 4.008 7.161
angles (deg): 90.00 105.71 90.00
Space group Pm (No. 6)
Symmetry-distinct sites (fractional):
Ca (0.000, 0.000, 0.000) [1 per cell]
La (0.730, 0.000, 0.474) [1 per cell]
Rh (0.173, 0.500, 0.377) [1 per cell]
Rh (0.556, 0.500, 0.135) [1 per cell]
Se (0.436, 0.500, 0.759) [1 per cell]

**E_form (uncorrected)**: -871 meV per atom

---

Entry from the Alexandria database: CaLaRh2Se after structural relaxation (PBE).

a b c (Å): 7.203 4.390 8.594
angles (deg): 90.00 107.29 90.00
Space group Cm (No. 8)
Symmetry-distinct sites (fractional):
Ca (0.000, 0.000, 0.000) [2 per cell]
La (0.173, 0.000, 0.470) [2 per cell]
Rh (0.090, 0.500, 0.732) [2 per cell]
Rh (0.255, 0.000, 0.776) [2 per cell]
Se (0.248, 0.500, 0.239) [2 per cell]

**E_form (uncorrected)**: -862 meV per atom

---

Entry from the Alexandria database: CaLaRhSe after structural relaxation (PBE).

a b c (Å): 4.324 3.940 11.529
angles (deg): 90.00 90.00 90.00
Space group Amm2 (No. 38)
Symmetry-distinct sites (fractional):
Ca (0.000, 0.000, 0.000) [2 per cell]
La (0.500, 0.000, 0.727) [2 per cell]
Rh (0.000, 0.000, 0.262) [2 per cell]
Se (0.500, 0.000, 0.453) [2 per cell]

**E_form (uncorrected)**: -1198 meV per atom

---

Entry from the Alexandria database: CaLaRhSe after structural relaxation (PBE).

a b c (Å): 3.592 3.592 7.366
angles (deg): 90.00 90.00 90.00
Space group P4mm (No. 99)
Symmetry-distinct sites (fractional):
Ca (0.000, 0.000, 0.000) [1 per cell]
La (0.000, 0.000, 0.514) [1 per cell]
Rh (0.500, 0.500, 0.739) [1 per cell]
Se (0.500, 0.500, 0.234) [1 per cell]

**E_form (uncorrected)**: -1100 meV per atom

---

Entry from the Alexandria database: CaLaRhSe after structural relaxation (PBE).

a b c (Å): 4.1016 4.1016 7.3052
angles (deg): 90.00 90.00 120.00
Space group P3m1 (No. 156)
Symmetry-distinct sites (fractional):
Ca (0.0000, 0.0000, 0.0000) [1 per cell]
La (0.3333, 0.6667, 0.4724) [1 per cell]
Rh (0.6667, 0.3333, 0.2587) [1 per cell]
Se (0.6667, 0.3333, 0.7613) [1 per cell]

**E_form (uncorrected)**: -1138 meV per atom

---

Entry from the Alexandria database: CaLaRh2Se after structural relaxation (PBE).

a b c (Å): 3.792 3.791 8.041
angles (deg): 90.00 90.02 90.00
Space group Pm (No. 6)
Symmetry-distinct sites (fractional):
Ca (0.000, 0.000, 0.000) [1 per cell]
La (0.001, 0.000, 0.450) [1 per cell]
Rh (0.499, 0.000, 0.712) [1 per cell]
Rh (0.997, 0.500, 0.712) [1 per cell]
Se (0.501, 0.500, 0.213) [1 per cell]

**E_form (uncorrected)**: -859 meV per atom

---

Entry from the Alexandria database: CaLaRh2Se after structural relaxation (PBE).

a b c (Å): 3.955 4.008 7.203
angles (deg): 97.27 105.91 90.03
Space group P1 (No. 1)
Symmetry-distinct sites (fractional):
Ca (0.000, 0.000, 0.000) [1 per cell]
La (0.243, 0.885, 0.485) [1 per cell]
Rh (0.625, 0.466, 0.247) [1 per cell]
Rh (0.814, 0.407, 0.630) [1 per cell]
Se (0.437, 0.472, 0.873) [1 per cell]

**E_form (uncorrected)**: -857 meV per atom

---

Entry from the Alexandria database: CaLaRhSe after structural relaxation (PBE).

a b c (Å): 4.138 4.138 6.145
angles (deg): 90.00 90.00 90.00
Space group P4/mmm (No. 123)
Symmetry-distinct sites (fractional):
Ca (0.000, 0.000, 0.000) [1 per cell]
La (0.500, 0.500, 0.500) [1 per cell]
Rh (0.000, 0.000, 0.500) [1 per cell]
Se (0.500, 0.500, 0.000) [1 per cell]

**E_form (uncorrected)**: -1205 meV per atom

---

Entry from the Alexandria database: CaLaRh2Se after structural relaxation (PBE).

a b c (Å): 4.162 4.328 7.903
angles (deg): 89.79 89.98 61.48
Space group P1 (No. 1)
Symmetry-distinct sites (fractional):
Ca (0.000, 0.000, 0.000) [1 per cell]
La (0.000, 0.000, 0.490) [1 per cell]
Rh (0.337, 0.324, 0.738) [1 per cell]
Rh (0.658, 0.688, 0.740) [1 per cell]
Se (0.672, 0.654, 0.236) [1 per cell]

**E_form (uncorrected)**: -975 meV per atom

---

Entry from the Alexandria database: CaLaRhSe after structural relaxation (PBE).

a b c (Å): 4.891 3.818 10.676
angles (deg): 90.00 90.00 90.00
Space group Amm2 (No. 38)
Symmetry-distinct sites (fractional):
Ca (0.000, 0.000, 0.000) [2 per cell]
La (0.500, 0.000, 0.272) [2 per cell]
Rh (0.500, 0.000, 0.505) [2 per cell]
Se (0.000, 0.000, 0.724) [2 per cell]

**E_form (uncorrected)**: -1129 meV per atom

---

Entry from the Alexandria database: CaLaRh2Se after structural relaxation (PBE).

a b c (Å): 4.002 4.383 13.507
angles (deg): 90.00 90.00 90.00
Space group Imm2 (No. 44)
Symmetry-distinct sites (fractional):
Ca (0.000, 0.000, 0.000) [2 per cell]
La (0.000, 0.000, 0.297) [2 per cell]
Rh (0.000, 0.000, 0.778) [2 per cell]
Rh (0.000, 0.500, 0.149) [2 per cell]
Se (0.000, 0.000, 0.536) [2 per cell]

**E_form (uncorrected)**: -822 meV per atom

---

Entry from the Alexandria database: CaLaRhSe after structural relaxation (PBE).

a b c (Å): 4.1666 4.1666 21.3322
angles (deg): 90.00 90.00 120.00
Space group R3m (No. 160, hexagonal axes)
Symmetry-distinct sites (fractional):
Ca (0.0000, 0.0000, 0.0000) [3 per cell]
La (0.0000, 0.0000, 0.4905) [3 per cell]
Rh (0.0000, 0.0000, 0.7558) [3 per cell]
Se (0.0000, 0.0000, 0.2518) [3 per cell]

**E_form (uncorrected)**: -1193 meV per atom

---

Entry from the Alexandria database: CaLaRhSe after structural relaxation (PBE).

a b c (Å): 4.0945 4.0945 22.2248
angles (deg): 90.00 90.00 120.00
Space group R3m (No. 160, hexagonal axes)
Symmetry-distinct sites (fractional):
Ca (0.0000, 0.0000, 0.0000) [3 per cell]
La (0.0000, 0.0000, 0.1614) [3 per cell]
Rh (0.0000, 0.0000, 0.7571) [3 per cell]
Se (0.0000, 0.0000, 0.5871) [3 per cell]

**E_form (uncorrected)**: -1120 meV per atom